[1]
80
Lattice="9.034 0.000 0.000 -3.011 8.518 0.000 -3.011 -4.259 7.377" Properties=species:S:1:pos:R:3 comment="Fe5H12W3 (PBE, optimized geometry)" dft_energy_ev_per_cell=-466.187 spacegroup="Ia-3d, No. 230" rho_g_cm3=9.9 pbc="T T T"
Fe 0.753 2.662 6.455
H 1.402 5.624 3.088
Fe 4.517 0.000 0.000
W -2.259 1.597 6.455
H -0.318 5.312 0.624
H 4.200 4.272 1.224
H -0.383 0.498 1.586
H -0.909 2.983 6.414
Fe 3.764 -2.662 6.455
H 1.188 -1.067 6.776
H -1.188 -0.014 6.153
H 5.919 0.902 0.362
H 1.188 1.053 6.753
H 4.621 7.616 0.362
H 2.628 -1.005 2.464
H -3.329 0.014 6.153
H -1.610 -3.357 7.015
H 1.123 3.254 4.912
H 0.383 5.264 4.912
W 5.270 5.856 0.922
Fe -1.506 -2.129 3.688
H 1.823 5.326 0.600
H 1.823 3.206 0.624
H 4.621 2.267 2.726
W -2.259 -1.597 6.455
H 3.329 -1.053 6.753
H 5.426 -2.983 6.414
Fe 2.259 1.597 0.922
H -1.123 -0.507 3.326
H 4.134 4.766 4.050
Fe 0.753 -2.129 5.532
Fe 2.259 6.388 1.844
H 2.908 1.365 4.288
H 6.341 4.245 1.224
H 3.920 1.276 0.962
W 2.259 0.000 5.532
H 3.395 3.761 5.791
H -2.415 7.242 0.962
H 5.640 0.507 3.326
H 6.127 -1.992 4.651
H -3.608 2.325 5.274
H 0.104 2.894 3.088
H -2.908 3.357 7.015
H 1.889 1.005 2.464
H 3.920 6.584 2.102
Fe -3.011 2.129 3.688
W 2.259 4.791 4.610
H 4.900 -0.498 1.586
W -0.753 3.727 4.610
Fe -0.753 0.532 4.610
Fe -1.506 4.259 0.000
H 2.103 3.601 3.065
Fe -0.753 6.921 0.922
Fe 5.270 -0.532 4.610
H -1.610 1.992 4.651
W 6.776 0.000 1.844
H -0.597 4.917 3.065
W 5.270 2.662 0.922
W 0.753 4.259 1.844
H -3.115 6.251 2.726
H 3.608 -0.658 4.312
Fe -0.753 2.129 1.844
H -0.318 3.192 0.600
W 3.764 0.532 2.766
H -0.909 -2.325 5.274
H 6.620 1.934 2.102
H 1.610 -1.365 4.288
Fe 3.011 4.259 0.000
Fe 3.764 3.727 2.766
H -2.628 3.752 4.050
H -1.889 4.756 5.791
Fe -2.259 4.791 2.766
Fe 3.011 -2.129 3.688
H 0.909 0.658 4.312
Fe 0.000 0.000 0.000
W 0.753 -0.532 2.766
Fe 1.506 2.129 3.688
W -3.764 4.259 5.532
Fe 3.764 2.129 5.532
H 3.329 1.067 6.776


[2]
10
Lattice="-2.116 -5.163 1.272 1.781 -1.979 -5.066 2.389 -0.704 1.115" Properties=species:S:1:pos:R:3 comment="Fe2H2W (PBE, optimized geometry)" e_above_lowest_polymorph_mev_per_atom=230 dft_energy_ev_per_cell=-69.674 spacegroup="P4/mbm, No. 127" rho_g_cm3=11.1 pbc="T T T"
Fe 0.016 -5.510 -0.175
H -1.136 -4.248 -0.249
H -0.316 -5.409 -2.740
Fe 0.679 -2.490 0.311
Fe 2.038 -2.336 -2.504
H 0.801 -2.894 -3.545
W -0.167 -3.571 -1.897
H -0.019 -1.732 -1.054
W 0.000 0.000 0.000
Fe 1.375 -5.356 -2.990


[3]
5
Lattice="3.960 0.000 0.000 0.000 3.960 0.000 0.000 0.000 3.960" Properties=species:S:1:pos:R:3 comment="FeHW3 (PBE, optimized geometry)" e_above_lowest_polymorph_mev_per_atom=0 dft_energy_ev_per_cell=-48.986 spacegroup="Pm-3m, No. 221" rho_g_cm3=16.3 pbc="T T T"
H 0.000 0.000 0.000
W 0.000 1.980 0.000
Fe 1.980 1.980 1.980
W 1.980 0.000 0.000
W 0.000 0.000 1.980